VASP calculation (GGA-PBE) on a geometry-optimized RbMoI2 structure.

Cell lengths 7.6859, 7.6859, 7.6859 Å; angles 90.00, 90.00, 90.00 degrees
Space group Fm-3m (No. 225)
Unique sites:
Rb1 0.0000 0.0000 0.0000 [4 per cell]
Mo1 0.0000 0.0000 0.5000 [4 per cell]
I1 0.2500 0.2500 0.2500 [8 per cell]

- density (g/cm³) = 6.367
- formation energy without anion corrections (eV per atom) = 0.651
- raw total energy (eV per formula unit) = -12.3
- distance to the lowest polymorph of the same formula (meV/atom) = 501